Record 1
A plane-wave DFT calculation with PBEsol was carried out for a relaxed MnCu2Re crystal.

Cell lengths 4.368, 2.591, 4.578 Å; angles 90.00, 108.21, 90.00 degrees
Space group P2/m (No. 10)
Symmetry-distinct sites (fractional):
Mn  0.000  0.000  0.000 [1 per cell]
Cu  0.000  0.500  0.500 [1 per cell]
Cu  0.500  0.000  0.500 [1 per cell]
Re  0.500  0.500  0.000 [1 per cell]

Energy of formation, eV per formula unit: 1.15
Excess energy over the best structure of this formula in the dataset, eV/atom: 0.053


Record 2
A plane-wave DFT calculation with PBEsol was carried out for a relaxed GeBiS2 crystal.

Cell lengths 6.806, 6.806, 6.806 Å; angles 90.00, 90.00, 90.00 degrees
Space group Fm-3m (No. 225)
Symmetry-distinct sites (fractional):
Ge  0.000  0.000  0.000 [4 per cell]
Bi  0.000  0.000  0.500 [4 per cell]
S  0.250  0.250  0.250 [8 per cell]

Final energy, eV per formula unit: -18.21


Record 3
A plane-wave DFT calculation with PBEsol was carried out for a relaxed AlTcBi3 crystal.

Cell lengths 5.250, 5.250, 5.250 Å; angles 90.00, 90.00, 90.00 degrees
Space group Pm-3m (No. 221)
Symmetry-distinct sites (fractional):
Al  0.000  0.000  0.000 [1 per cell]
Tc  0.500  0.500  0.500 [1 per cell]
Bi  0.000  0.500  0.500 [3 per cell]

Energy of formation, eV per formula unit: 3.50


Record 4
A plane-wave DFT calculation with PBEsol was carried out for a relaxed Sc2MnPb crystal.

Cell lengths 3.309, 4.157, 6.070 Å; angles 90.00, 90.00, 90.00 degrees
Space group Pmm2 (No. 25)
Symmetry-distinct sites (fractional):
Sc  0.000  0.000  0.000 [1 per cell]
Sc  0.500  0.500  0.272 [1 per cell]
Mn  0.000  0.000  0.476 [1 per cell]
Pb  0.500  0.500  0.751 [1 per cell]

Energy of formation, eV per formula unit: 0.24


Record 5
A plane-wave DFT calculation with PBEsol was carried out for a relaxed Co5Rh crystal.

Cell lengths 10.744, 2.524, 5.009 Å; angles 90.00, 103.42, 90.00 degrees
Space group C2/m (No. 12)
Symmetry-distinct sites (fractional):
Co  0.000  0.000  0.000 [2 per cell]
Co  0.169  0.500  0.843 [4 per cell]
Co  0.172  0.500  0.328 [4 per cell]
Rh  0.000  0.000  0.500 [2 per cell]

Energy of formation, eV per formula unit: 0.36


Record 6
A plane-wave DFT calculation with PBEsol was carried out for a relaxed Cs2TaBPd crystal.

Cell lengths 6.609, 6.609, 4.753 Å; angles 90.00, 90.00, 90.00 degrees
Space group P4/mmm (No. 123)
Symmetry-distinct sites (fractional):
Cs  0.000  0.500  0.000 [2 per cell]
Ta  0.000  0.000  0.000 [1 per cell]
B  0.500  0.500  0.500 [1 per cell]
Pd  0.000  0.000  0.500 [1 per cell]

Energy of formation, eV per formula unit: 10.41


Record 7
A plane-wave DFT calculation with PBEsol was carried out for a relaxed RbSN2Cl crystal.

Cell lengths 4.485, 4.485, 4.831 Å; angles 90.00, 90.00, 90.00 degrees
Space group P4/mmm (No. 123)
Symmetry-distinct sites (fractional):
Rb  0.000  0.000  0.000 [1 per cell]
S  0.500  0.500  0.000 [1 per cell]
N  0.000  0.500  0.500 [2 per cell]
Cl  0.500  0.500  0.500 [1 per cell]

Final energy, eV per formula unit: -16.02


Record 8
A plane-wave DFT calculation with PBEsol was carried out for a relaxed ScCd2Pb2 crystal.

Cell lengths 4.514, 4.514, 13.212 Å; angles 90.00, 90.00, 90.00 degrees
Space group I4/mmm (No. 139)
Symmetry-distinct sites (fractional):
Sc  0.000  0.000  0.000 [2 per cell]
Cd  0.000  0.000  0.402 [4 per cell]
Pb  0.000  0.500  0.250 [4 per cell]

Energy of formation, eV per formula unit: 0.94


Record 9
A plane-wave DFT calculation with PBEsol was carried out for a relaxed YSc3 crystal.

Cell lengths 10.873, 3.291, 5.686 Å; angles 90.00, 100.06, 90.00 degrees
Space group C2/m (No. 12)
Symmetry-distinct sites (fractional):
Y  0.000  0.000  0.000 [2 per cell]
Sc  0.000  0.500  0.500 [2 per cell]
Sc  0.247  0.000  0.744 [4 per cell]

Energy of formation, eV per formula unit: 0.24
Excess energy over the best structure of this formula in the dataset, eV/atom: 0.042


Record 10
A plane-wave DFT calculation with PBEsol was carried out for a relaxed BeRe4Se crystal.

Cell lengths 7.270, 7.270, 7.270 Å; angles 90.00, 90.00, 90.00 degrees
Space group F-43m (No. 216)
Symmetry-distinct sites (fractional):
Be  0.000  0.000  0.000 [4 per cell]
Re  0.125  0.125  0.375 [16 per cell]
Se  0.250  0.250  0.750 [4 per cell]

Final energy, eV per formula unit: -55.42


Record 11
A plane-wave DFT calculation with PBEsol was carried out for a relaxed Sr2InFe crystal.

Cell lengths 3.629, 3.629, 8.946 Å; angles 90.00, 90.00, 90.00 degrees
Space group P4mm (No. 99)
Symmetry-distinct sites (fractional):
Sr  0.000  0.000  0.000 [1 per cell]
Sr  0.500  0.500  0.392 [1 per cell]
In  0.500  0.500  0.744 [1 per cell]
Fe  0.000  0.000  0.641 [1 per cell]

Energy of formation, eV per formula unit: 0.88


Record 12
A plane-wave DFT calculation with PBEsol was carried out for a relaxed ScAlTc2 crystal.

Cell lengths 3.208, 4.502, 8.479 Å; angles 90.00, 90.00, 90.00 degrees
Space group Immm (No. 71)
Symmetry-distinct sites (fractional):
Sc  0.000  0.000  0.000 [2 per cell]
Al  0.000  0.000  0.500 [2 per cell]
Tc  0.000  0.500  0.249 [4 per cell]

Energy of formation, eV per formula unit: -0.40
Excess energy over the best structure of this formula in the dataset, eV/atom: 0.189